(1)
Density functional theory data (PBE) for crystalline Sc2Al15Pt6 at its relaxed geometry.

extended XYZ file:
```
46
Lattice="6.3976 -3.6916 0.0000 6.3976 3.6916 0.0000 0.0000 0.0000 16.4352" Properties=species:S:1:pos:R:3 pbc="T T T"
Sc 2.1402 1.2279 4.1088
Sc 2.1402 -1.2279 12.3264
Sc 10.6550 1.2279 4.1088
Sc 10.6550 -1.2279 12.3264
Al 2.1404 1.2260 0.7672
Al 2.1404 1.2260 7.4504
Al 6.3976 3.6669 2.3210
Al 6.3976 3.6669 5.8966
Al 5.0539 2.0001 4.1088
Al 6.3976 1.2379 0.7928
Al 6.3976 1.2379 7.4248
Al 2.1404 -1.2260 8.9849
Al 2.1404 -1.2260 15.6680
Al 4.2907 0.0107 2.3129
Al 4.2907 0.0107 5.9047
Al 7.7413 2.0001 4.1088
Al 4.2907 -0.0107 10.5305
Al 4.2907 -0.0107 14.1224
Al 6.3976 0.3310 12.3264
Al 6.3976 -0.3310 4.1088
Al 8.5045 0.0107 2.3129
Al 8.5045 0.0107 5.9047
Al 5.0539 -2.0001 12.3264
Al 8.5045 -0.0107 10.5305
Al 8.5045 -0.0107 14.1224
Al 10.6548 1.2260 0.7672
Al 10.6548 1.2260 7.4504
Al 6.3976 -1.2379 9.0104
Al 6.3976 -1.2379 15.6424
Al 7.7413 -2.0001 12.3264
Al 6.3976 -3.6669 10.5386
Al 6.3976 -3.6669 14.1143
Al 10.6548 -1.2260 8.9849
Al 10.6548 -1.2260 15.6680
Pt 2.1894 1.2002 10.0122
Pt 2.1894 1.2002 14.6407
Pt 6.3976 1.2929 9.9931
Pt 6.3976 1.2929 14.6597
Pt 2.1894 -1.2002 1.7945
Pt 2.1894 -1.2002 6.4231
Pt 10.6058 1.2002 10.0122
Pt 10.6058 1.2002 14.6407
Pt 6.3976 -1.2929 1.7755
Pt 6.3976 -1.2929 6.4421
Pt 10.6058 -1.2002 1.7945
Pt 10.6058 -1.2002 6.4231
```

Properties
SG = Cmcm (63)

***

(2)
Density functional theory data (PBE) for crystalline Sc2AlSiPt4 at its relaxed geometry.

extended XYZ file:
```
8
Lattice="7.1326 0.0000 0.0000 0.0000 1.8103 5.0736 0.0000 -1.8103 5.0736" Properties=species:S:1:pos:R:3 pbc="T T T"
Sc 0.0000 0.0000 0.0000
Sc 3.5663 0.0000 0.9434
Al 0.0000 0.0000 2.8328
Si 3.5663 0.0000 8.2482
Pt 1.4681 0.0000 6.9057
Pt 2.1490 0.0000 4.1712
Pt 4.9836 0.0000 4.1712
Pt 5.6644 0.0000 6.9057
```

Properties
SG = Amm2 (38)

***

(3)
Density functional theory data (PBE) for crystalline Tm2ScAl3Si2Pt at its relaxed geometry.

extended XYZ file:
```
9
Lattice="4.1510 0.0000 0.0000 0.0000 5.8374 3.4000 0.0000 -5.8374 3.4000" Properties=species:S:1:pos:R:3 pbc="T T T"
Tm 0.0000 -3.3968 3.4000
Tm 0.0000 3.3968 3.4000
Sc 0.0000 0.0000 2.5271
Al 2.0755 0.0000 0.1972
Al 2.0755 -1.3966 4.5351
Al 2.0755 1.3966 4.5351
Si 2.0755 -1.8992 1.9762
Si 2.0755 1.8992 1.9762
Pt 0.0000 0.0000 5.3079
```

Properties
SG = Amm2 (38)

***

(4)
Density functional theory data (PBE) for crystalline Sc2AlSnPt4 at its relaxed geometry.

extended XYZ file:
```
8
Lattice="7.3176 0.0000 0.0000 0.0000 1.7340 5.6126 0.0000 -1.7340 5.6126" Properties=species:S:1:pos:R:3 pbc="T T T"
Sc 0.0000 0.0000 0.0000
Sc 3.6588 0.0000 0.6635
Al 0.0000 0.0000 3.0647
Sn 3.6588 0.0000 8.8249
Pt 1.4161 0.0000 7.3717
Pt 2.0948 0.0000 4.6262
Pt 5.2228 0.0000 4.6262
Pt 5.9015 0.0000 7.3717
```

Properties
SG = Amm2 (38)

***

(5)
Density functional theory data (PBE) for crystalline SrScAlPt2 at its relaxed geometry.

extended XYZ file:
```
5
Lattice="-2.1464 2.1464 5.8827 2.1464 -2.1464 5.8827 2.1464 2.1464 -5.8827" Properties=species:S:1:pos:R:3 pbc="T T T"
Sr 0.0000 0.0000 0.0000
Sc 0.0000 2.1464 2.9413
Al 2.1464 0.0000 2.9413
Pt 0.0000 0.0000 4.5048
Pt 0.0000 0.0000 7.2605
```

Properties
SG = I-4m2 (119)

***

(6)
Density functional theory data (PBE) for crystalline SrScAl4Pt2 at its relaxed geometry.

extended XYZ file:
```
8
Lattice="6.0971 0.0000 0.0000 0.0000 2.5977 7.6505 0.0000 -2.5977 7.6505" Properties=species:S:1:pos:R:3 pbc="T T T"
Sr 0.0000 0.0000 0.0000
Sc 0.0000 0.0000 11.7551
Al 1.6870 0.0000 5.0100
Al 1.8092 0.0000 7.6552
Al 4.2879 0.0000 7.6552
Al 4.4101 0.0000 5.0100
Pt 0.0000 0.0000 3.2773
Pt 0.0000 0.0000 9.2249
```

Properties
SG = Amm2 (38)

***

(7)
Density functional theory data (PBE) for crystalline TbScAl2Pt4 at its relaxed geometry.

extended XYZ file:
```
8
Lattice="4.3035 0.0000 0.0000 -2.1517 3.7269 0.0000 0.0000 0.0000 9.0884" Properties=species:S:1:pos:R:3 pbc="T T T"
Tb 0.0000 0.0000 0.0000
Sc 2.1517 1.2423 4.5442
Al 0.0000 2.4846 2.3410
Al 0.0000 2.4846 6.7474
Pt 0.0000 0.0000 3.1369
Pt 0.0000 0.0000 5.9515
Pt 2.1517 1.2423 1.5786
Pt 2.1517 1.2423 7.5099
```

Properties
SG = P-6m2 (187)

***

(8)
Density functional theory data (PBE) for crystalline TmScAl2Pt4 at its relaxed geometry.

extended XYZ file:
```
8
Lattice="4.2874 0.0000 0.0000 -2.1437 3.7130 0.0000 0.0000 0.0000 8.9707" Properties=species:S:1:pos:R:3 pbc="T T T"
Tm 0.0000 0.0000 0.0000
Sc 0.0000 2.4753 4.4854
Al 2.1437 1.2377 2.2866
Al 2.1437 1.2377 6.6841
Pt 0.0000 0.0000 3.0805
Pt 0.0000 0.0000 5.8902
Pt 0.0000 2.4753 1.5063
Pt 0.0000 2.4753 7.4644
```

Properties
SG = P-6m2 (187)

***

(9)
Density functional theory data (PBE) for crystalline YScAl2Pt4 at its relaxed geometry.

extended XYZ file:
```
8
Lattice="4.3013 0.0000 0.0000 -2.1507 3.7250 0.0000 0.0000 0.0000 9.0832" Properties=species:S:1:pos:R:3 pbc="T T T"
Y 0.0000 0.0000 0.0000
Sc 0.0000 2.4834 4.5416
Al 2.1507 1.2417 2.3349
Al 2.1507 1.2417 6.7483
Pt 0.0000 0.0000 3.1372
Pt 0.0000 0.0000 5.9460
Pt 0.0000 2.4834 1.5803
Pt 0.0000 2.4834 7.5029
```

Properties
SG = P-6m2 (187)

***

(10)
Density functional theory data (PBE) for crystalline SmAlSiPt2 at its relaxed geometry.

extended XYZ file:
```
10
Lattice="4.2333 0.0000 0.0000 0.0000 4.2333 0.0000 0.0000 0.0000 10.2314" Properties=species:S:1:pos:R:3 pbc="T T T"
Sm 1.0583 1.0583 2.5243
Sm 3.1749 3.1749 7.7071
Al 1.0583 3.1749 5.1157
Al 3.1749 1.0583 5.1157
Si 1.0583 1.0583 8.9131
Si 3.1749 3.1749 1.3183
Pt 1.0583 1.0583 6.5365
Pt 1.0583 3.1749 0.0000
Pt 3.1749 1.0583 0.0000
Pt 3.1749 3.1749 3.6949
```

Properties
SG = P4/nmm (129)

***

(11)
Density functional theory data (PBE) for crystalline SrAlSiPt2 at its relaxed geometry.

extended XYZ file:
```
10
Lattice="4.3182 0.0000 0.0000 0.0000 4.3182 0.0000 0.0000 0.0000 10.3627" Properties=species:S:1:pos:R:3 pbc="T T T"
Sr 1.0796 1.0796 2.5351
Sr 3.2387 3.2387 7.8276
Al 1.0796 3.2387 5.1813
Al 3.2387 1.0796 5.1813
Si 1.0796 1.0796 9.1068
Si 3.2387 3.2387 1.2558
Pt 1.0796 1.0796 6.6031
Pt 1.0796 3.2387 0.0000
Pt 3.2387 1.0796 0.0000
Pt 3.2387 3.2387 3.7595
```

Properties
SG = P4/nmm (129)

***

(12)
Density functional theory data (PBE) for crystalline TbAlSiPt at its relaxed geometry.

extended XYZ file:
```
8
Lattice="7.3589 -1.7229 0.0000 7.3589 1.7229 0.0000 -0.5360 0.0000 6.8454" Properties=species:S:1:pos:R:3 pbc="T T T"
Tb 2.8410 0.0000 1.6674
Tb 11.3408 0.0000 5.1780
Al 5.7422 0.0000 3.0611
Al 8.4396 0.0000 3.7843
Si 5.5027 0.0000 0.5687
Si 8.6791 0.0000 6.2767
Pt 6.3821 0.0000 5.4462
Pt 7.7997 0.0000 1.3991
```

Properties
SG = C2/m (12)

***

(13)
Density functional theory data (PBE) for crystalline TbY2Al3Si2Pt at its relaxed geometry.

extended XYZ file:
```
9
Lattice="4.2239 0.0000 0.0000 0.0000 6.0023 3.4650 0.0000 -6.0023 3.4650" Properties=species:S:1:pos:R:3 pbc="T T T"
Tb 0.0000 0.0000 0.0000
Y 0.0000 -2.5070 2.5914
Y 0.0000 2.5070 2.5914
Al 2.1120 0.0000 2.3985
Al 2.1120 -1.4213 4.8570
Al 2.1120 1.4213 4.8570
Si 2.1120 -3.9980 4.0389
Si 2.1120 3.9980 4.0389
Pt 0.0000 0.0000 4.0366
```

Properties
SG = Amm2 (38)

***

(14)
Density functional theory data (PBE) for crystalline AlSi6TePt at its relaxed geometry.

extended XYZ file:
```
9
Lattice="0.0000 4.3970 4.3970 4.3970 0.0000 4.3970 4.3970 4.3970 0.0000" Properties=species:S:1:pos:R:3 pbc="T T T"
Al 0.0000 0.0000 0.0000
Si 6.5955 6.5955 4.8244
Si 6.5955 4.8244 6.5955
Si 8.3666 6.5955 6.5955
Si 4.8244 6.5955 6.5955
Si 6.5955 8.3666 6.5955
Si 6.5955 6.5955 8.3666
Te 2.1985 2.1985 2.1985
Pt 4.3970 4.3970 4.3970
```

Properties
SG = F-43m (216)

***

(15)
Density functional theory data (PBE) for crystalline Y2TmAl3Si2Pt at its relaxed geometry.

extended XYZ file:
```
9
Lattice="4.2112 0.0000 0.0000 0.0000 5.9691 3.4493 0.0000 -5.9691 3.4493" Properties=species:S:1:pos:R:3 pbc="T T T"
Y 0.0000 -3.4734 3.4493
Y 0.0000 3.4734 3.4493
Tm 0.0000 0.0000 2.5764
Al 2.1056 0.0000 0.1937
Al 2.1056 -1.4128 4.6290
Al 2.1056 1.4128 4.6290
Si 2.1056 -1.9690 2.0080
Si 2.1056 1.9690 2.0080
Pt 0.0000 0.0000 5.4229
```

Properties
SG = Amm2 (38)

***

(16)
Density functional theory data (PBE) for crystalline YAlSiPt2 at its relaxed geometry.

extended XYZ file:
```
10
Lattice="4.1779 0.0000 0.0000 0.0000 4.1779 0.0000 0.0000 0.0000 10.2942" Properties=species:S:1:pos:R:3 pbc="T T T"
Y 1.0445 1.0445 2.5399
Y 3.1334 3.1334 7.7543
Al 1.0445 3.1334 5.1471
Al 3.1334 1.0445 5.1471
Si 1.0445 1.0445 8.9521
Si 3.1334 3.1334 1.3421
Pt 1.0445 1.0445 6.5957
Pt 1.0445 3.1334 0.0000
Pt 3.1334 1.0445 0.0000
Pt 3.1334 3.1334 3.6986
```

Properties
SG = P4/nmm (129)

***

(17)
Density functional theory data (PBE) for crystalline AlZn4SiPt2 at its relaxed geometry.

extended XYZ file:
```
8
Lattice="4.2167 0.0000 0.0000 -2.1084 3.6518 0.0000 0.0000 0.0000 8.1091" Properties=species:S:1:pos:R:3 pbc="T T T"
Al 0.0000 0.0000 0.0000
Zn 0.0000 2.4345 2.6160
Zn 0.0000 2.4345 5.4931
Zn 2.1084 1.2173 1.3653
Zn 2.1084 1.2173 6.7438
Si 0.0000 0.0000 4.0546
Pt 0.0000 2.4345 0.0000
Pt 2.1084 1.2173 4.0546
```

Properties
SG = P-6m2 (187)

***

(18)
Density functional theory data (PBE) for crystalline SrAlSnPt2 at its relaxed geometry.

extended XYZ file:
```
10
Lattice="4.6591 0.0000 0.0000 0.0000 4.5624 0.0000 -0.3305 0.0000 10.3827" Properties=species:S:1:pos:R:3 pbc="T T T"
Sr 0.9943 1.1406 2.6196
Sr 3.3343 3.4218 7.7631
Al 0.9621 3.4218 5.1782
Al 3.3666 1.1406 5.2046
Sn 1.0949 1.1406 9.0315
Sn 3.2337 3.4218 1.3513
Pt 0.5808 3.4218 10.3587
Pt 1.0366 1.1406 6.3253
Pt 3.2920 3.4218 4.0574
Pt 3.7478 1.1406 0.0240
```

Properties
SG = P2_1/m (11)

***

(19)
Density functional theory data (PBE) for crystalline Sr2AlPt at its relaxed geometry.

extended XYZ file:
```
8
Lattice="1.9831 -6.1491 0.0000 1.9831 6.1491 0.0000 0.0000 0.0000 9.4425" Properties=species:S:1:pos:R:3 pbc="T T T"
Sr 1.9831 4.5285 5.3736
Sr 1.9831 4.5285 8.7901
Sr 1.9831 -4.5285 0.6524
Sr 1.9831 -4.5285 4.0689
Al 1.9831 1.0716 7.0819
Al 1.9831 -1.0716 2.3606
Pt 1.9831 3.6282 2.3606
Pt 1.9831 -3.6282 7.0819
```

Properties
SG = Cmcm (63)

***

(20)
Density functional theory data (PBE) for crystalline SrAl2Pt2 at its relaxed geometry.

extended XYZ file:
```
5
Lattice="-2.1995 2.1995 5.2431 2.1995 -2.1995 5.2431 2.1995 2.1995 -5.2431" Properties=species:S:1:pos:R:3 pbc="T T T"
Sr 0.0000 0.0000 0.0000
Al 0.0000 0.0000 3.8401
Al 0.0000 0.0000 6.6461
Pt 2.1995 0.0000 2.6216
Pt 0.0000 2.1995 2.6216
```

Properties
SG = I4/mmm (139)

***

Total energy per entry: -5.46; -6.90; -5.70; -6.59; -5.79; -4.35; -6.50; -6.50; -6.73; -6.34; -5.56; -5.42; -5.96; -4.34; -5.94; -6.69; -3.74; -5.17; -3.83; -5.13 eV/atom
Total magnetization per entry: 0.00; 0.02; 0.00; 0.01; 0.00; 0.00; 0.00; 0.00; 0.01; 0.01; 0.02; 0.01; 0.00; 0.00; 0.00; 0.01; 0.00; 0.01; 0.00; 0.00 μB per cell